[1]
Here is a geometry-optimized InSi2Os structure from the Alexandria database. Energies are from GGA-PBE.

The structure in POSCAR format:
```
InSi2Os
1.0
3.391 0.000 0.000
0.000 4.320 0.000
0.000 0.000 4.726
In Si Os
1 2 1
Direct
0.000 0.000 0.000
0.500 0.500 0.248
0.500 0.500 0.752
0.500 0.000 0.500
```

E_tot	-5.985	eV/atom

---

[2]
Here is a geometry-optimized InSi2Os structure from the Alexandria database. Energies are from GGA-PBE.

The structure in POSCAR format:
```
InSi2Os
1.0
3.043 0.000 0.000
0.000 3.043 0.000
0.000 0.000 7.403
In Si Os
1 2 1
Direct
0.000 0.000 0.000
0.000 0.000 0.443
0.500 0.500 0.646
0.500 0.500 0.287
```

E_tot	-6.011	eV/atom

---

[3]
Here is a geometry-optimized In2Si2Os structure from the Alexandria database. Energies are from GGA-PBE.

The structure in POSCAR format:
```
In2Si2Os
1.0
-1.878 1.878 7.322
1.878 -1.878 7.322
1.878 1.878 -7.322
In Si Os
2 2 1
Direct
0.250 0.750 0.500
0.750 0.250 0.500
0.079 0.079 0.000
0.921 0.921 0.000
0.500 0.500 0.000
```

E_tot	-4.434	eV/atom

---

[4]
Here is a geometry-optimized InSi2Os structure from the Alexandria database. Energies are from GGA-PBE.

The structure in POSCAR format:
```
InSi2Os
1.0
-2.947 2.947 5.520
2.947 -2.947 5.520
2.947 2.947 -5.520
In Si Os
2 4 2
Direct
0.000 0.000 0.000
0.750 0.250 0.500
0.191 0.625 0.066
0.375 0.441 0.566
0.559 0.125 0.934
0.875 0.809 0.434
0.250 0.750 0.500
0.500 0.500 0.000
```

E_tot	-5.757	eV/atom

---

[5]
Here is a geometry-optimized In2Si2Os structure from the Alexandria database. Energies are from GGA-PBE.

The structure in POSCAR format:
```
In2Si2Os
1.0
6.330 0.000 0.000
0.000 6.330 0.000
0.000 0.000 4.525
In Si Os
4 4 2
Direct
0.179 0.321 0.000
0.321 0.821 0.000
0.679 0.179 0.000
0.821 0.679 0.000
0.136 0.636 0.500
0.364 0.136 0.500
0.636 0.864 0.500
0.864 0.364 0.500
0.000 0.000 0.500
0.500 0.500 0.500
```

E_tot	-5.281	eV/atom

---

[6]
Here is a geometry-optimized InSi2Os structure from the Alexandria database. Energies are from GGA-PBE.

The structure in POSCAR format:
```
InSi2Os
1.0
2.980 0.000 0.000
0.000 2.980 0.000
0.000 0.000 7.729
In Si Os
1 2 1
Direct
0.000 0.000 0.000
0.500 0.500 0.312
0.500 0.500 0.688
0.000 0.000 0.500
```

E_tot	-6.137	eV/atom

---

Number 1: volume 69.2 Å³ per cell, formation energy from raw total energies 218 meV/atom. Number 2: volume 68.6 Å³ per cell, formation energy from raw total energies 192 meV/atom. Number 3: volume 103.3 Å³ per cell, formation energy from raw total energies 1077 meV/atom. Number 4: volume 191.8 Å³ per cell, formation energy from raw total energies 446 meV/atom. Number 5: volume 181.3 Å³ per cell, formation energy from raw total energies 229 meV/atom. Number 6: volume 68.6 Å³ per cell, formation energy from raw total energies 67 meV/atom.